Arrangement i

Si2SbAs | PBE | optimized geometry

Results
Its calculated volume is 80.20 Å³/cell. The symmetry is I-4m2, No. 119.

Cell and atoms, written as extended XYZ:
```
4
Lattice="5.887 0.785 0.000 2.694 5.292 0.000 -4.290 -3.039 2.762" Properties=species:S:1:pos:R:3 pbc="T T T"
Si 1.347 2.646 1.381
As 4.290 3.039 0.000
Si 0.000 0.000 0.000
Sb 2.943 0.392 1.381
```

---

Arrangement ii

Si2SbAs | PBE | optimized geometry

Results
Its calculated volume is 192.54 Å³/cell. The symmetry is I-42d, No. 122.

Cell and atoms, written as extended XYZ:
```
8
Lattice="6.497 0.000 0.000 0.000 6.497 0.000 3.248 3.248 4.562" Properties=species:S:1:pos:R:3 pbc="T T T"
Si 8.121 7.952 3.421
Sb 0.000 0.000 0.000
As 3.248 3.248 0.000
Si 4.704 1.624 1.140
Sb 6.497 3.248 2.281
Si 1.793 4.873 1.140
As 3.248 6.497 2.281
Si 4.873 5.041 3.421
```

---

Going by the computed energies, the most stable comes first: arrangement ii, arrangement i.

---

Arrangement i

Si2SbAs | PBE | optimized geometry

Results
Its calculated volume is 78.20 Å³/cell. The symmetry is C2/m, No. 12.

Cell and atoms, written as extended XYZ:
```
4
Lattice="5.650 -0.128 -0.059 -2.594 5.021 -0.059 0.523 0.837 2.768" Properties=species:S:1:pos:R:3 pbc="T T T"
Si 0.000 0.000 0.000
As 3.086 0.355 1.355
Sb -1.036 2.929 1.355
Si 1.528 2.447 -0.059
```

---

Arrangement ii

Si2SbAs | PBE | optimized geometry

Results
Its calculated volume is 81.10 Å³/cell. The symmetry is R-3m, No. 166.

Cell and atoms, written as extended XYZ:
```
4
Lattice="-6.361 -1.732 -0.910 -4.223 -4.847 -1.722 -4.996 -3.939 1.954" Properties=species:S:1:pos:R:3 pbc="T T T"
Si -15.483 -10.454 -0.673
Si -7.886 -5.324 -0.343
Sb -11.684 -7.889 -0.508
As -3.895 -2.630 -0.169
```

---

Arrangement iii

Si2SbAs | PBE | optimized geometry

Results
Its calculated volume is 77.13 Å³/cell. The symmetry is P4/mmm, No. 123.

Cell and atoms, written as extended XYZ:
```
4
Lattice="-1.665 -2.536 -1.490 2.514 -2.116 0.791 -3.050 -1.436 5.851" Properties=species:S:1:pos:R:3 pbc="T T T"
Sb -1.863 -3.403 4.039
Si -0.136 -0.064 0.261
As -0.338 -2.685 1.113
Si -1.389 -0.654 2.664
```

---

Arrangement iv

Si2SbAs | PBE | optimized geometry

Results
Its calculated volume is 76.78 Å³/cell. The symmetry is F-43m, No. 216.

Cell and atoms, written as extended XYZ:
```
4
Lattice="-0.363 -4.150 2.325 2.550 -3.769 -1.433 3.636 -1.571 2.659" Properties=species:S:1:pos:R:3 pbc="T T T"
Si 0.000 0.000 0.000
Sb 4.367 -7.117 2.663
As 2.911 -4.745 1.775
Si 1.456 -2.372 0.888
```

---

Going by the computed energies, the most stable comes first: arrangement ii, arrangement iii, arrangement i, arrangement iv.

---

Arrangement i

Si2SbAs | PBE | optimized geometry

Results
Its calculated volume is 81.10 Å³/cell. The symmetry is C2/m, No. 12.

Cell and atoms, written as extended XYZ:
```
4
Lattice="-3.954 1.728 -2.417 -4.814 -1.070 -0.369 -2.916 3.187 3.129" Properties=species:S:1:pos:R:3 pbc="T T T"
Si -2.770 2.930 2.838
As -8.763 2.883 0.257
Si -5.988 2.179 0.462
Sb -2.921 0.961 0.086
```

---

Arrangement ii

Si2SbAs | PBE | optimized geometry

Results
Its calculated volume is 84.82 Å³/cell. The symmetry is Cm, No. 8.

Cell and atoms, written as extended XYZ:
```
4
Lattice="3.912 -0.644 0.457 2.721 2.883 0.457 2.143 0.723 6.806" Properties=species:S:1:pos:R:3 pbc="T T T"
Si 6.752 2.279 6.079
Si 2.064 0.697 6.423
Sb 2.369 0.800 1.975
As 4.120 1.391 3.910
```

---

Arrangement iii

Si2SbAs | PBE | optimized geometry

Results
Its calculated volume is 77.48 Å³/cell. The symmetry is Pmmm, No. 47.

Cell and atoms, written as extended XYZ:
```
4
Lattice="-0.666 -3.056 1.497 3.830 0.526 2.778 -2.638 2.156 3.229" Properties=species:S:1:pos:R:3 pbc="T T T"
Sb 0.596 1.341 3.003
Si 1.582 -1.265 2.137
Si 0.000 0.000 0.000
As -1.652 -0.450 2.363
```

---

Going by the computed energies, the most stable comes first: arrangement ii, arrangement i, arrangement iii.

---

Arrangement i

Si2SbAs | PBE | optimized geometry

Results
Its calculated volume is 82.67 Å³/cell. The symmetry is P2/m, No. 10.

Cell and atoms, written as extended XYZ:
```
4
Lattice="-3.439 -1.221 1.106 -1.210 -0.688 -4.522 1.210 -4.509 -1.217" Properties=species:S:1:pos:R:3 pbc="T T T"
Si -1.151 -0.845 -4.511
As -1.719 -1.910 -0.882
Si -0.059 -2.441 -2.880
Sb -1.719 -4.508 -3.752
```

---

Arrangement ii

Si2SbAs | PBE | optimized geometry

Results
Its calculated volume is 75.80 Å³/cell. The symmetry is P4mm, No. 99.

Cell and atoms, written as extended XYZ:
```
4
Lattice="3.290 0.000 0.000 0.000 3.290 0.000 0.000 0.000 7.005" Properties=species:S:1:pos:R:3 pbc="T T T"
Si 1.645 1.645 1.615
Sb 1.645 1.645 5.352
As 0.000 0.000 3.131
Si 0.000 0.000 0.409
```

---

Going by the computed energies, the most stable comes first: arrangement i, arrangement ii.

---

Arrangement i

SiSbAs2 | PBE | optimized geometry

Results
Its calculated volume is 84.86 Å³/cell. The symmetry is R-3m, No. 166.

Cell and atoms, written as extended XYZ:
```
4
Lattice="-6.441 -0.424 -2.397 -6.236 -2.852 0.622 -6.709 0.951 1.221" Properties=species:S:1:pos:R:3 pbc="T T T"
Sb -4.846 -0.581 -0.139
Si -14.539 -1.744 -0.416
As -9.461 -1.135 -0.271
As -0.231 -0.028 -0.007
```

---

Arrangement ii

SiSbAs2 | PBE | optimized geometry

Results
Its calculated volume is 86.17 Å³/cell. The symmetry is P4/mmm, No. 123.

Cell and atoms, written as extended XYZ:
```
4
Lattice="3.936 0.000 0.000 0.000 3.936 -0.001 0.000 0.003 5.562" Properties=species:S:1:pos:R:3 pbc="T T T"
Sb 1.968 1.970 2.780
As 1.968 1.968 0.000
As 0.000 0.000 0.000
Si 0.000 0.001 2.781
```

---

Arrangement iii

SiSbAs2 | PBE | optimized geometry

Results
Its calculated volume is 84.72 Å³/cell. The symmetry is P4/mmm, No. 123.

Cell and atoms, written as extended XYZ:
```
4
Lattice="-3.196 -0.423 0.357 0.384 -0.179 3.218 -0.991 7.966 0.561" Properties=species:S:1:pos:R:3 pbc="T T T"
Si -2.149 5.673 2.209
As -0.572 4.596 0.324
Sb -1.654 1.691 1.928
As -0.915 7.353 0.518
```

---

Going by the computed energies, the most stable comes first: arrangement i, arrangement ii, arrangement iii.

---

Arrangement i

SiSbAs2 | PBE | optimized geometry

Results
Its calculated volume is 93.06 Å³/cell. The symmetry is Pm, No. 6.

Cell and atoms, written as extended XYZ:
```
4
Lattice="3.837 0.000 0.000 0.000 4.911 -0.020 0.000 1.722 4.931" Properties=species:S:1:pos:R:3 pbc="T T T"
As 0.000 6.468 4.591
Sb 0.000 3.276 2.465
As 1.919 1.842 1.141
Si 1.919 4.995 4.081
```

---

Arrangement ii

SiSbAs2 | PBE | optimized geometry

Results
Its calculated volume is 81.36 Å³/cell. The symmetry is Pmmm, No. 47.

Cell and atoms, written as extended XYZ:
```
4
Lattice="3.466 0.000 0.000 0.000 4.823 0.000 0.000 0.000 4.867" Properties=species:S:1:pos:R:3 pbc="T T T"
As 0.000 0.000 0.000
Si 0.000 2.411 2.433
As 1.733 2.411 0.000
Sb 1.733 0.000 2.433
```

---

Arrangement iii

SiSbAs2 | PBE | optimized geometry

Results
Its calculated volume is 79.76 Å³/cell. The symmetry is F-43m, No. 216.

Cell and atoms, written as extended XYZ:
```
4
Lattice="4.832 0.000 0.000 2.416 4.184 0.000 2.416 1.395 3.945" Properties=species:S:1:pos:R:3 pbc="T T T"
Si 7.248 4.184 2.959
Sb 4.832 2.790 1.973
As 2.416 1.395 0.986
As 0.000 0.000 0.000
```

---

Going by the computed energies, the most stable comes first: arrangement i, arrangement ii, arrangement iii.

---

Arrangement i

SiSbAs2 | PBE | optimized geometry

Results
Its calculated volume is 86.38 Å³/cell. The symmetry is P2/m, No. 10.

Cell and atoms, written as extended XYZ:
```
4
Lattice="3.916 0.000 0.000 0.000 4.698 -0.008 0.000 1.563 4.693" Properties=species:S:1:pos:R:3 pbc="T T T"
Si 1.958 4.696 3.513
As 0.000 3.186 2.563
Sb 1.958 1.565 1.171
As 0.000 1.507 4.472
```

---

Arrangement ii

SiSbAs2 | PBE | optimized geometry

Results
Its calculated volume is 86.06 Å³/cell. The symmetry is Imm2, No. 44.

Cell and atoms, written as extended XYZ:
```
4
Lattice="6.294 0.023 -0.028 3.829 4.995 0.028 -4.868 -2.899 2.741" Properties=species:S:1:pos:R:3 pbc="T T T"
Si 3.430 -0.091 1.356
As 1.938 2.266 1.384
As 9.406 4.662 0.000
Sb 5.665 2.808 0.000
```

---

Arrangement iii

SiSbAs2 | PBE | optimized geometry

Results
Its calculated volume is 90.79 Å³/cell. The symmetry is P4mm, No. 99.

Cell and atoms, written as extended XYZ:
```
4
Lattice="-3.204 -2.205 -0.220 0.972 -1.051 -3.623 3.058 -4.660 2.173" Properties=species:S:1:pos:R:3 pbc="T T T"
As 2.641 -4.025 1.877
Sb 1.260 -1.920 0.895
As -0.147 -3.105 -1.233
Si 1.658 -5.856 0.050
```

---

Arrangement iv

SiSbAs2 | PBE | optimized geometry

Results
Its calculated volume is 86.01 Å³/cell. The symmetry is C2/m, No. 12.

Cell and atoms, written as extended XYZ:
```
4
Lattice="5.911 0.030 0.071 4.840 3.393 0.071 1.845 0.588 4.345" Properties=species:S:1:pos:R:3 pbc="T T T"
As 6.883 2.191 1.958
Si 3.149 1.003 1.122
As 10.166 3.237 0.427
Sb 9.447 3.008 3.365
```

---

Going by the computed energies, the most stable comes first: arrangement i, arrangement iii, arrangement ii, arrangement iv.

---

Arrangement i

SiSbAs2 | PBE | optimized geometry

Results
Its calculated volume is 201.18 Å³/cell. The symmetry is I-42d, No. 122.

Cell and atoms, written as extended XYZ:
```
8
Lattice="-6.228 -0.257 -2.497 0.315 -6.706 -0.094 -4.611 -3.618 2.847" Properties=species:S:1:pos:R:3 pbc="T T T"
Sb -6.898 -3.679 -0.473
Si -3.626 -6.903 0.729
As -8.648 -8.467 -0.127
Si -2.956 -3.482 -1.295
As -5.660 -5.665 1.159
As -2.050 -5.141 0.214
Sb 0.000 0.000 0.000
As -4.690 -1.891 -0.734
```

---

Arrangement ii

SiSbAs2 | PBE | optimized geometry

Results
Its calculated volume is 89.56 Å³/cell. The symmetry is Cmm2, No. 35.

Cell and atoms, written as extended XYZ:
```
4
Lattice="3.330 0.030 0.000 -1.135 3.131 0.000 0.000 0.000 8.562" Properties=species:S:1:pos:R:3 pbc="T T T"
As 1.097 1.580 2.315
Sb 0.000 0.000 4.280
Si 1.097 1.580 6.648
As 0.000 0.000 8.161
```

---

Going by the computed energies, the most stable comes first: arrangement i, arrangement ii.

---

Arrangement i

SiSbAs2 | PBE | optimized geometry

Results
Its calculated volume is 81.56 Å³/cell. The symmetry is C2/m, No. 12.

Cell and atoms, written as extended XYZ:
```
4
Lattice="-1.161 -3.464 -4.190 -0.680 -2.019 5.102 -3.179 -0.174 0.138" Properties=species:S:1:pos:R:3 pbc="T T T"
Sb -1.930 -1.096 2.620
As 0.000 0.000 0.000
Si -0.921 -2.742 0.456
As -2.170 -1.819 -2.026
```

---

Arrangement ii

SiSbAs2 | PBE | optimized geometry

Results
Its calculated volume is 81.07 Å³/cell. The symmetry is Fm-3m, No. 225.

Cell and atoms, written as extended XYZ:
```
4
Lattice="0.000 3.435 3.435 3.435 0.000 3.435 3.435 3.435 0.000" Properties=species:S:1:pos:R:3 pbc="T T T"
As 1.718 1.718 1.718
As 5.153 5.153 5.153
Si 0.000 0.000 0.000
Sb 3.435 3.435 3.435
```

---

Going by the computed energies, the most stable comes first: arrangement ii, arrangement i.

---

Arrangement i

SnSb2As | PBE | optimized geometry

Results
Its calculated volume is 115.45 Å³/cell. The symmetry is R3m, No. 160.

Cell and atoms, written as extended XYZ:
```
4
Lattice="4.051 0.000 0.000 2.025 3.508 0.000 2.025 1.169 8.125" Properties=species:S:1:pos:R:3 pbc="T T T"
Sn 4.051 2.339 3.890
Sb 2.025 1.169 2.110
Sb 2.025 1.169 6.411
As 6.076 3.508 7.902
```

---

Arrangement ii

SnSb2As | PBE | optimized geometry

Results
Its calculated volume is 109.05 Å³/cell. The symmetry is R-3m, No. 166.

Cell and atoms, written as extended XYZ:
```
4
Lattice="-2.147 2.754 -2.356 -3.061 -1.354 -2.558 -6.461 1.261 3.595" Properties=species:S:1:pos:R:3 pbc="T T T"
As 0.000 0.000 0.000
Sn -5.835 1.330 -0.660
Sb -2.841 0.652 -0.415
Sb -8.829 2.009 -0.905
```

---

Arrangement iii

SnSb2As | PBE | optimized geometry

Results
Its calculated volume is 282.17 Å³/cell. The symmetry is I-42d, No. 122.

Cell and atoms, written as extended XYZ:
```
8
Lattice="6.068 0.000 0.000 0.000 6.068 0.000 3.034 3.034 7.665" Properties=species:S:1:pos:R:3 pbc="T T T"
Sn 6.068 3.034 3.832
As 3.034 6.068 3.832
As 3.034 3.034 0.000
Sb 1.691 4.551 1.916
Sb 7.584 7.411 5.748
Sn 0.000 0.000 0.000
Sb 4.551 4.724 5.748
Sb 4.377 1.517 1.916
```

---

Arrangement iv

SnSb2As | PBE | optimized geometry

Results
Its calculated volume is 101.50 Å³/cell. The symmetry is Fm-3m, No. 225.

Cell and atoms, written as extended XYZ:
```
4
Lattice="2.877 -3.426 2.720 1.632 1.202 4.828 -2.064 -2.443 4.145" Properties=species:S:1:pos:R:3 pbc="T T T"
Sn 1.222 -2.334 5.847
As 0.000 0.000 0.000
Sb 1.833 -3.501 8.770
Sb 0.611 -1.167 2.923
```

---

Going by the computed energies, the most stable comes first: arrangement ii, arrangement i, arrangement iii, arrangement iv.